[1]
Below is a relaxed structure of Ba3TlP, with properties calculated at the PBE level.

Structure (CIF):
```
data_Ba3TlP
_chemical_formula_sum 'Ba3 Tl1 P1'
_space_group_name_H-M_alt 'P m -3 m'
_space_group_IT_number 221
_space_group_name_Hall '-P 4 2 3'
_cell_length_a 6.2399
_cell_length_b 6.2399
_cell_length_c 6.2399
_cell_angle_alpha 90.00
_cell_angle_beta 90.00
_cell_angle_gamma 90.00
loop_
_atom_site_label
_atom_site_type_symbol
_atom_site_fract_x
_atom_site_fract_y
_atom_site_fract_z
_atom_site_occupancy
Ba1 Ba 0.0000 0.0000 0.5000 1
Tl1 Tl 0.5000 0.5000 0.5000 1
P1 P 0.0000 0.0000 0.0000 1
```

Properties
The formation energy is -0.5182 eV per atom. The value obtained for the energy above the most stable polymorph in this dataset is 116.1 meV/atom. Its crystal system is cubic.

[2]
Below is a relaxed structure of BaTl2P, with properties calculated at the PBE level.

Structure (CIF):
```
data_BaTl2P
_chemical_formula_sum 'Ba4 Tl8 P4'
_space_group_name_H-M_alt 'I -4 2 d'
_space_group_IT_number 122
_space_group_name_Hall 'I -4 2bw'
_cell_length_a 8.8645
_cell_length_b 8.8645
_cell_length_c 6.5209
_cell_angle_alpha 90.00
_cell_angle_beta 90.00
_cell_angle_gamma 90.00
loop_
_atom_site_label
_atom_site_type_symbol
_atom_site_fract_x
_atom_site_fract_y
_atom_site_fract_z
_atom_site_occupancy
Ba1 Ba 0.0000 0.0000 0.0000 1
Tl1 Tl 0.1884 0.7500 0.6250 1
P1 P 0.0000 0.0000 0.5000 1
```

Properties
The formation energy is -0.3038 eV per atom. The value obtained for the energy above the most stable polymorph in this dataset is 90.4 meV/atom. Its crystal system is tetragonal.

[3]
Below is a relaxed structure of BaTl2P, with properties calculated at the PBE level.

Structure (CIF):
```
data_BaTl2P
_chemical_formula_sum 'Ba1 Tl2 P1'
_space_group_name_H-M_alt 'P 4/m m m'
_space_group_IT_number 123
_space_group_name_Hall '-P 4 2'
_cell_length_a 3.9728
_cell_length_b 3.9728
_cell_length_c 7.4345
_cell_angle_alpha 90.00
_cell_angle_beta 90.00
_cell_angle_gamma 90.00
loop_
_atom_site_label
_atom_site_type_symbol
_atom_site_fract_x
_atom_site_fract_y
_atom_site_fract_z
_atom_site_occupancy
Ba1 Ba 0.0000 0.0000 0.0000 1
Tl1 Tl 0.5000 0.5000 0.3051 1
P1 P 0.0000 0.0000 0.5000 1
```

Properties
The formation energy is -0.0940 eV per atom. The value obtained for the energy above the most stable polymorph in this dataset is 300.2 meV/atom. Its crystal system is tetragonal.

[4]
Below is a relaxed structure of BaTlP2, with properties calculated at the PBE level.

Structure (CIF):
```
data_BaTlP2
_chemical_formula_sum 'Ba1 Tl1 P2'
_space_group_name_H-M_alt 'P 1 2/m 1'
_space_group_IT_number 10
_cell_length_a 4.3933
_cell_length_b 4.6102
_cell_length_c 6.3037
_cell_angle_alpha 90.00
_cell_angle_beta 90.64
_cell_angle_gamma 90.00
loop_
_space_group_symop_operation_xyz
'x,y,z'
'-x,-y,-z'
'-x,y,-z'
'x,-y,z'
loop_
_atom_site_label
_atom_site_type_symbol
_atom_site_fract_x
_atom_site_fract_y
_atom_site_fract_z
_atom_site_occupancy
Ba1 Ba 0.0000 0.0000 0.0000 1
Tl1 Tl 0.5000 0.0000 0.5000 1
P1 P 0.4940 0.5000 0.8315 1
```

Properties
The formation energy is -0.4034 eV per atom. The value obtained for the energy above the most stable polymorph in this dataset is 14.0 meV/atom. Its crystal system is monoclinic.

[5]
Below is a relaxed structure of BaTlP2, with properties calculated at the PBE level.

Structure (CIF):
```
data_BaTlP2
_chemical_formula_sum 'Ba2 Tl2 P4'
_space_group_name_H-M_alt 'I 4/m m m'
_space_group_IT_number 139
_space_group_name_Hall '-I 4 2'
_cell_length_a 4.8283
_cell_length_b 4.8283
_cell_length_c 9.0813
_cell_angle_alpha 90.00
_cell_angle_beta 90.00
_cell_angle_gamma 90.00
loop_
_atom_site_label
_atom_site_type_symbol
_atom_site_fract_x
_atom_site_fract_y
_atom_site_fract_z
_atom_site_occupancy
Ba1 Ba 0.0000 0.0000 0.0000 1
Tl1 Tl 0.0000 0.0000 0.5000 1
P1 P 0.0000 0.5000 0.2500 1
```

Properties
The formation energy is -0.0420 eV per atom. The value obtained for the energy above the most stable polymorph in this dataset is 375.3 meV/atom. Its crystal system is tetragonal.

[6]
Below is a relaxed structure of BaTlP2, with properties calculated at the PBE level.

Structure (CIF):
```
data_BaTlP2
_chemical_formula_sum 'Ba2 Tl2 P4'
_space_group_name_H-M_alt 'I -4 m 2'
_space_group_IT_number 119
_space_group_name_Hall 'I -4 -2'
_cell_length_a 4.4576
_cell_length_b 4.4576
_cell_length_c 10.7375
_cell_angle_alpha 90.00
_cell_angle_beta 90.00
_cell_angle_gamma 90.00
loop_
_atom_site_label
_atom_site_type_symbol
_atom_site_fract_x
_atom_site_fract_y
_atom_site_fract_z
_atom_site_occupancy
Ba1 Ba 0.0000 0.0000 0.0000 1
Tl1 Tl 0.0000 0.5000 0.2500 1
P1 P 0.0000 0.0000 0.5000 1
P2 P 0.0000 0.5000 0.7500 1
```

Properties
The formation energy is 0.0414 eV per atom. The value obtained for the energy above the most stable polymorph in this dataset is 458.7 meV/atom. Its crystal system is tetragonal.

[7]
Below is a relaxed structure of BaTlP2, with properties calculated at the PBE level.

Structure (CIF):
```
data_BaTlP2
_chemical_formula_sum 'Ba1 Tl1 P2'
_space_group_name_H-M_alt 'P 4 m m'
_space_group_IT_number 99
_cell_length_a 3.6734
_cell_length_b 3.6734
_cell_length_c 7.5140
_cell_angle_alpha 90.00
_cell_angle_beta 90.00
_cell_angle_gamma 90.00
loop_
_space_group_symop_operation_xyz
'x,y,z'
'-y,x,z'
'-x,-y,z'
'y,-x,z'
'-x,y,z'
'y,x,z'
'x,-y,z'
'-y,-x,z'
loop_
_atom_site_label
_atom_site_type_symbol
_atom_site_fract_x
_atom_site_fract_y
_atom_site_fract_z
_atom_site_occupancy
Ba1 Ba 0.0000 0.0000 0.0000 1
Tl1 Tl 0.5000 0.5000 0.6577 1
P1 P 0.0000 0.0000 0.3941 1
P2 P 0.5000 0.5000 0.2998 1
```

Properties
The formation energy is -0.0212 eV per atom. The value obtained for the energy above the most stable polymorph in this dataset is 396.2 meV/atom. Its crystal system is tetragonal.

[8]
Below is a relaxed structure of BaTl2P2, with properties calculated at the PBE level.

Structure (CIF):
```
data_BaTl2P2
_chemical_formula_sum 'Ba2 Tl4 P4'
_space_group_name_H-M_alt 'I 4/m m m'
_space_group_IT_number 139
_space_group_name_Hall '-I 4 2'
_cell_length_a 4.6685
_cell_length_b 4.6685
_cell_length_c 13.1127
_cell_angle_alpha 90.00
_cell_angle_beta 90.00
_cell_angle_gamma 90.00
loop_
_atom_site_label
_atom_site_type_symbol
_atom_site_fract_x
_atom_site_fract_y
_atom_site_fract_z
_atom_site_occupancy
Ba1 Ba 0.0000 0.0000 0.0000 1
Tl1 Tl 0.0000 0.5000 0.2500 1
P1 P 0.0000 0.0000 0.4177 1
```

Properties
The formation energy is -0.3797 eV per atom. The value obtained for the energy above the most stable polymorph in this dataset is 0.0 meV/atom. Its crystal system is tetragonal.